# 1
# ReAgMo4, optimized geometry, DFT GGA-PBE
# Total energy   -9.325 eV/atom
# Formation enthalpy at 0 K   0.45 eV per atom
# SG   F-43m
# V   99 Å³/cell
data_ReAgMo4
_space_group_name_H-M_alt 'P 1'
_space_group_IT_number 1
_cell_length_a 5.1862
_cell_length_b 5.1862
_cell_length_c 5.1862
_cell_angle_alpha 60.00
_cell_angle_beta 60.00
_cell_angle_gamma 60.00
loop_
_space_group_symop_operation_xyz
'x,y,z'
loop_
_atom_site_label
_atom_site_fract_x
_atom_site_fract_y
_atom_site_fract_z
Re1 0.7500 0.7500 0.7500
Ag1 0.0000 0.0000 0.0000
Mo1 0.3741 0.8778 0.3741
Mo2 0.3741 0.3741 0.8778
Mo3 0.8778 0.3741 0.3741
Mo4 0.3741 0.3741 0.3741

# 2
# Li4Pa3ReN8, optimized geometry, DFT GGA-PBE
# Total energy   -8.126 eV/atom
# SG   R-3m
# V   205 Å³/cell
data_Li4Pa3ReN8
_space_group_name_H-M_alt 'P 1'
_space_group_IT_number 1
_cell_length_a 6.8196
_cell_length_b 6.4420
_cell_length_c 6.8177
_cell_angle_alpha 121.98
_cell_angle_beta 120.01
_cell_angle_gamma 90.00
loop_
_space_group_symop_operation_xyz
'x,y,z'
loop_
_atom_site_label
_atom_site_fract_x
_atom_site_fract_y
_atom_site_fract_z
Pa1 0.0000 0.5000 0.5000
Pa2 0.5000 0.5000 0.0000
Pa3 0.5000 0.5000 0.5000
N1 0.7720 0.2877 0.5440
N2 0.7386 0.7154 0.4771
N3 0.7720 0.2877 0.0154
N4 0.2280 0.7123 0.4560
N5 0.7567 0.7123 0.9846
N6 0.2280 0.7123 0.9846
N7 0.2614 0.2846 0.5229
N8 0.2433 0.2877 0.0154
Re1 0.0000 0.5000 0.0000
Li1 0.0000 0.0000 0.0000
Li2 0.5000 0.0000 0.5000
Li3 0.5000 0.0000 0.0000
Li4 0.0000 0.0000 0.5000

# 3
# ZrSc2Cr, optimized geometry, DFT GGA-PBE
# Total energy   -7.422 eV/atom
# Formation enthalpy at 0 K   0.29 eV per atom
# SG   R3m
# Energy above the most stable polymorph in this dataset   0.53 eV per formula unit
# V   85 Å³/cell
data_ZrSc2Cr
_space_group_name_H-M_alt 'P 1'
_space_group_IT_number 1
_cell_length_a 9.9718
_cell_length_b 9.9718
_cell_length_c 9.9718
_cell_angle_alpha 18.31
_cell_angle_beta 18.31
_cell_angle_gamma 18.31
loop_
_space_group_symop_operation_xyz
'x,y,z'
loop_
_atom_site_label
_atom_site_fract_x
_atom_site_fract_y
_atom_site_fract_z
Cr1 0.7507 0.7507 0.7507
Zr1 0.4918 0.4918 0.4918
Sc1 0.0103 0.0103 0.0103
Sc2 0.2471 0.2471 0.2471